(1)
BeAlV2Mo after structural relaxation. Source: the Alexandria database, functional PBE-GGA.

Calculated values
ΔH_f (0 K)	1.411	eV/atom
raw total energy	-5.897	eV/atom

Cell: 4.536 4.536 4.821 Å, 90.00 90.00 90.00°
Space group P4/mmm (No. 123)
One atom of each set of equivalent atoms:
Be 0.000 0.000 0.000 [1 per cell]
Al 0.500 0.500 0.000 [1 per cell]
V 0.000 0.500 0.500 [2 per cell]
Mo 0.500 0.500 0.500 [1 per cell]

---

(2)
BeTcTe2 after structural relaxation. Source: the Alexandria database, functional PBE-GGA.

Calculated values
E_form (uncorrected)	0.45	eV/atom
raw total energy	-4.641	eV/atom

Cell: 3.9996 3.9996 22.5280 Å, 90.00 90.00 120.00°
Space group R-3m (No. 166, hexagonal axes)
One atom of each set of equivalent atoms:
Be 0.0000 0.0000 0.0000 [3 per cell]
Tc 0.0000 0.0000 0.5000 [3 per cell]
Te 0.0000 0.0000 0.1024 [6 per cell]

---

Question: raw total energy of number 2 (BeTcTe2)?
Answer: -4.641 eV/atom

---

Question: Which value of raw total energy does entry 2 give?
Answer: -4.641 eV/atom

---

Copy entry 1 word for word.
BeAlV2Mo after structural relaxation. Source: the Alexandria database, functional PBE-GGA.

Calculated values
ΔH_f (0 K)	1.411	eV/atom
raw total energy	-5.897	eV/atom

Cell: 4.536 4.536 4.821 Å, 90.00 90.00 90.00°
Space group P4/mmm (No. 123)
One atom of each set of equivalent atoms:
Be 0.000 0.000 0.000 [1 per cell]
Al 0.500 0.500 0.000 [1 per cell]
V 0.000 0.500 0.500 [2 per cell]
Mo 0.500 0.500 0.500 [1 per cell]